Entry w
Compound: ReNi2Ir
Source: Alexandria
Functional: PBEsol
Structure: optimized geometry

## Properties
- Symmetry: I4/mmm

Cell: 3.6732 3.6732 4.4963 Å, 114.11 114.11 90.00°
Element x y z (fractional)
Ir  0.0000  0.0000  0.0000
Ni  0.7500  0.2500  0.5000
Ni  0.2500  0.7500  0.5000
Re  0.5000  0.5000  0.0000

***

Entry x
Compound: ReNi2Ir
Source: Alexandria
Functional: PBEsol
Structure: optimized geometry

## Properties
- Symmetry: Cm

Cell: 2.6453 4.4075 4.5304 Å, 100.12 106.97 90.00°
Element x y z (fractional)
Ni  0.9988  0.9874  0.9976
Ni  0.2511  0.7589  0.5022
Ir  0.7488  0.2538  0.4976
Re  0.5013  0.4999  0.0025

***

Entry y
Compound: ReNi2Ir
Source: Alexandria
Functional: PBEsol
Structure: optimized geometry

## Properties
- Symmetry: I-4m2

Cell: 3.6321 3.6321 4.5345 Å, 113.61 113.61 90.00°
Element x y z (fractional)
Ni  0.0000  0.0000  0.0000
Ni  0.7500  0.2500  0.5000
Ir  0.2500  0.7500  0.5000
Re  0.5000  0.5000  0.0000

***

According to the calculations, the structures order from most to least stable as entry y, entry x, entry w.

***

Entry w
Compound: NiIrRh2
Source: Alexandria
Functional: PBEsol
Structure: optimized geometry

## Properties
- Symmetry: Pmmm

Cell: 2.6424 4.4615 4.4893 Å, 90.00 90.00 90.00°
Element x y z (fractional)
Rh  0.5000  0.5000  0.0000
Rh  0.0000  0.0000  0.0000
Ni  0.0000  0.5000  0.5000
Ir  0.5000  0.0000  0.5000

***

Entry x
Compound: NiIrRh2
Source: Alexandria
Functional: PBEsol
Structure: optimized geometry

## Properties
- Symmetry: P4/mmm

Cell: 2.6728 2.6728 7.2386 Å, 90.00 90.00 90.00°
Element x y z (fractional)
Rh  0.0000  0.0000  0.2595
Rh  0.0000  0.0000  0.7405
Ir  0.5000  0.5000  0.0000
Ni  0.5000  0.5000  0.5000

***

According to the calculations, the structures order from most to least stable as entry x, entry w.

***

Entry w
Compound: NiIrRh2
Source: Alexandria
Functional: PBEsol
Structure: optimized geometry

## Properties
- Symmetry: I4/mmm

Cell: 3.7041 3.7041 4.5827 Å, 113.84 113.84 90.00°
Element x y z (fractional)
Rh  0.7500  0.2500  0.5000
Rh  0.2500  0.7500  0.5000
Ni  0.0000  0.0000  0.0000
Ir  0.5000  0.5000  0.0000

***

Entry x
Compound: NiIrRh2
Source: Alexandria
Functional: PBEsol
Structure: optimized geometry

## Properties
- Symmetry: F-43m

Cell: 4.2069 4.2069 4.2069 Å, 60.00 60.00 60.00°
Element x y z (fractional)
Ir  0.5000  0.5000  0.5000
Ni  0.7500  0.7500  0.7500
Rh  0.0000  0.0000  0.0000
Rh  0.2500  0.2500  0.2500

***

Entry y
Compound: NiIrRh2
Source: Alexandria
Functional: PBEsol
Structure: optimized geometry

## Properties
- Symmetry: R-3m

Cell: 2.6608 2.6608 8.6258 Å, 81.13 81.13 60.00°
Element x y z (fractional)
Rh  0.7471  0.7471  0.7586
Rh  0.2529  0.2529  0.2414
Ir  0.5000  0.5000  0.5000
Ni  0.0000  0.0000  0.0000

***

According to the calculations, the structures order from most to least stable as entry w, entry y, entry x.

***

Entry w
Compound: Ni2IrRh
Source: Alexandria
Functional: PBEsol
Structure: optimized geometry

## Properties
- Symmetry: Pmmm

Cell: 2.6286 3.5197 5.2499 Å, 90.00 90.00 90.00°
Element x y z (fractional)
Ni  0.0000  0.0000  0.7468
Ni  0.0000  0.0000  0.2532
Rh  0.5000  0.5000  0.0000
Ir  0.5000  0.5000  0.5000

***

Entry x
Compound: Ni2IrRh
Source: Alexandria
Functional: PBEsol
Structure: optimized geometry

## Properties
- Symmetry: R-3m

Cell: 2.6300 2.6300 8.3427 Å, 80.97 80.97 59.95°
Element x y z (fractional)
Ni  0.2498  0.2498  0.2501
Ni  0.7501  0.7501  0.7499
Ir  0.0000  0.0000  0.0000
Rh  0.5000  0.5000  0.5000

***

Entry y
Compound: Ni2IrRh
Source: Alexandria
Functional: PBEsol
Structure: optimized geometry

## Properties
- Symmetry: I-4m2

Cell: 3.6113 3.6113 4.5055 Å, 113.63 113.63 90.00°
Element x y z (fractional)
Ni  0.7500  0.2500  0.5000
Ni  0.0000  0.0000  0.0000
Rh  0.5000  0.5000  0.0000
Ir  0.2500  0.7500  0.5000

***

Entry z
Compound: Ni2IrRh
Source: Alexandria
Functional: PBEsol
Structure: optimized geometry

## Properties
- Symmetry: Pmm2

Cell: 2.6352 3.6475 5.0757 Å, 90.00 90.00 90.00°
Element x y z (fractional)
Ni  0.0000  0.0000  0.0036
Ni  0.5000  0.5000  0.2445
Ir  0.5000  0.5000  0.7556
Rh  0.0000  0.0000  0.4962

***

According to the calculations, the structures order from most to least stable as entry y, entry z, entry w, entry x.

***

Entry w
Compound: Ni2IrRh
Source: Alexandria
Functional: PBEsol
Structure: optimized geometry

## Properties
- Symmetry: I4/mmm

Cell: 3.7134 3.7134 4.3902 Å, 115.02 115.02 90.00°
Element x y z (fractional)
Ni  0.7500  0.2500  0.5000
Ni  0.2500  0.7500  0.5000
Rh  0.5000  0.5000  0.0000
Ir  0.0000  0.0000  0.0000

***

Entry x
Compound: Ni2IrRh
Source: Alexandria
Functional: PBEsol
Structure: optimized geometry

## Properties
- Symmetry: Cm

Cell: 2.6430 4.3695 4.4881 Å, 100.35 107.12 90.01°
Element x y z (fractional)
Ir  0.7482  0.2495  0.4963
Rh  0.5000  0.4982  0.0001
Ni  0.2525  0.7579  0.5048
Ni  0.9994  0.9944  0.9988

***

According to the calculations, the structures order from most to least stable as entry x, entry w.

***

Entry w
Compound: Ni2IrRh
Source: Alexandria
Functional: PBEsol
Structure: optimized geometry

## Properties
- Symmetry: P4/mmm

Cell: 2.6344 2.6344 7.0020 Å, 90.00 90.00 90.00°
Element x y z (fractional)
Ni  0.0000  0.0000  0.2506
Ni  0.0000  0.0000  0.7494
Ir  0.5000  0.5000  0.5000
Rh  0.5000  0.5000  0.0000

***

Entry x
Compound: Ni2IrRh
Source: Alexandria
Functional: PBEsol
Structure: optimized geometry

## Properties
- Symmetry: Cmmm

Cell: 2.6298 4.3873 4.3873 Å, 106.41 90.00 90.00°
Element x y z (fractional)
Ir  0.5000  0.5000  0.5000
Rh  0.5000  0.0000  0.0000
Ni  0.0000  0.0000  0.5000
Ni  0.0000  0.5000  0.0000

***

According to the calculations, the structures order from most to least stable as entry x, entry w.

***

Entry w
Compound: Ni2IrRh
Source: Alexandria
Functional: PBEsol
Structure: optimized geometry

## Properties
- Symmetry: C2/m

Cell: 2.6244 4.3825 4.5430 Å, 99.91 90.00 107.42°
Element x y z (fractional)
Ni  0.2483  0.4966  0.2463
Ni  0.7517  0.5034  0.7537
Rh  0.0000  0.0000  0.5000
Ir  0.5000  0.0000  0.0000

***

Entry x
Compound: Ni2IrRh
Source: Alexandria
Functional: PBEsol
Structure: optimized geometry

## Properties
- Symmetry: R3m

Cell: 2.6274 2.6274 8.3840 Å, 80.99 80.99 60.00°
Element x y z (fractional)
Ni  0.0028  0.0028  0.9915
Ni  0.7471  0.7471  0.7588
Ir  0.2531  0.2531  0.2408
Rh  0.4970  0.4970  0.5089

***

According to the calculations, the structures order from most to least stable as entry w, entry x.

***

Entry w
Compound: NiIrRu
Source: Alexandria
Functional: PBEsol
Structure: optimized geometry

## Properties
- Symmetry: I4mm

Cell: 2.6606 2.6606 5.7033 Å, 103.49 103.49 90.00°
Element x y z (fractional)
Ir  0.0006  0.0006  0.0013
Ru  0.3310  0.3310  0.6621
Ni  0.6683  0.6683  0.3366

***

Entry x
Compound: NiIrRu
Source: Alexandria
Functional: PBEsol
Structure: optimized geometry

## Properties
- Symmetry: Imm2

Cell: 2.6684 3.6531 4.4992 Å, 113.95 107.25 90.00°
Element x y z (fractional)
Ru  0.3321  0.3321  0.6642
Ni  0.6675  0.6675  0.3350
Ir  0.0004  0.0004  0.0008

***

According to the calculations, the structures order from most to least stable as entry x, entry w.